Here is a geometry-optimized TaAgCl structure from the Alexandria database. Energies are from PBEsol.

abc: 2.936 2.936 6.938
angles: 102.22 102.22 90.00
Atoms (fractional coordinates):
Ag 0.030 0.030 0.060
Cl 0.295 0.295 0.590
Ta 0.675 0.675 0.351

Results
Magnetic moment: 0.000 μB/atom
E_tot: -5.915 eV/atom
Energy relative to the elements, uncorrected: 0.041 eV/atom
SG: I4mm (107)


Here is a geometry-optimized Sc2SeO2 structure from the Alexandria database. Energies are from PBEsol.

abc: 3.589 3.589 6.163
angles: 106.93 106.93 90.00
Atoms (fractional coordinates):
Se 0.000 0.000 0.000
O 0.750 0.250 0.500
O 0.250 0.750 0.500
Sc 0.660 0.660 0.319
Sc 0.340 0.340 0.681

Results
Magnetic moment: 0.000 μB/atom
E_tot: -8.443 eV/atom
Energy relative to the elements, uncorrected: -2.931 eV/atom
SG: I4/mmm (139)


Here is a geometry-optimized LiSe3 structure from the Alexandria database. Energies are from PBEsol.

abc: 3.955 3.955 6.471
angles: 72.21 72.21 60.00
Atoms (fractional coordinates):
Se 0.500 0.500 0.500
Se 0.249 0.249 0.252
Se 0.751 0.751 0.748
Li 0.000 0.000 0.000

Results
Magnetic moment: 0.000 μB/atom
E_tot: -3.590 eV/atom
Energy relative to the elements, uncorrected: -0.211 eV/atom
SG: R-3m (166)


Here is a geometry-optimized SrCdP2O7 structure from the Alexandria database. Energies are from PBEsol.

abc: 5.439 8.548 12.929
angles: 90.00 89.84 90.00
Atoms (fractional coordinates):
Sr 0.783 0.174 0.729
Sr 0.283 0.326 0.229
Sr 0.717 0.674 0.771
Sr 0.217 0.826 0.271
O 0.536 0.611 0.264
O 0.219 0.209 0.413
O 0.930 0.672 0.956
O 0.964 0.111 0.236
O 0.281 0.709 0.087
O 0.070 0.328 0.044
O 0.625 0.382 0.094
O 0.570 0.172 0.544
O 0.495 0.945 0.779
O 0.669 0.359 0.341
O 0.781 0.791 0.587
O 0.036 0.889 0.764
O 0.005 0.445 0.721
O 0.375 0.618 0.906
O 0.125 0.118 0.594
O 0.464 0.389 0.736
O 0.831 0.859 0.159
O 0.759 0.105 0.059
O 0.259 0.395 0.559
O 0.505 0.055 0.221
O 0.741 0.605 0.441
O 0.995 0.555 0.279
O 0.169 0.141 0.841
O 0.430 0.828 0.456
O 0.875 0.882 0.406
O 0.331 0.641 0.659
O 0.241 0.895 0.941
O 0.719 0.291 0.913
P 0.241 0.970 0.826
P 0.700 0.784 0.475
P 0.759 0.030 0.174
P 0.259 0.470 0.674
P 0.741 0.530 0.326
P 0.800 0.284 0.025
P 0.200 0.716 0.975
P 0.300 0.216 0.525
Cd 0.185 0.858 0.594
Cd 0.685 0.642 0.094
Cd 0.815 0.142 0.406
Cd 0.315 0.358 0.906

Results
Magnetic moment: 0.000 μB/atom
E_tot: -7.046 eV/atom
Energy relative to the elements, uncorrected: -2.377 eV/atom
SG: P2_1/c (14)


Here is a geometry-optimized CsNdS2 structure from the Alexandria database. Energies are from PBEsol.

abc: 4.179 4.179 8.321
angles: 75.46 75.46 60.00
Atoms (fractional coordinates):
S 0.230 0.230 0.311
S 0.770 0.770 0.689
Cs 0.000 0.000 0.000
Nd 0.500 0.500 0.500

Results
Magnetic moment: 0.000 μB/atom
E_tot: -5.555 eV/atom
Energy relative to the elements, uncorrected: -1.836 eV/atom
SG: R-3m (166)


Here is a geometry-optimized LiIn3Pb structure from the Alexandria database. Energies are from PBEsol.

abc: 5.764 5.764 5.764
angles: 90.00 90.00 90.00
Atoms (fractional coordinates):
In 0.000 0.500 0.000
In 0.000 0.000 0.500
In 0.500 0.000 0.000
Li 0.500 0.500 0.500
Pb 0.000 0.000 0.000

Results
Energy of formation: 0.512 eV/atom
Magnetic moment: 0.000 μB/atom
E_tot: -2.471 eV/atom
SG: Pm-3m (221)